1.
VASP calculation (PBE) on a relaxed K3Na2Hg9 crystal.

a b c (Å): 5.1344 9.7711 9.7711
angles (deg): 70.13 74.77 74.77
Element x y z (fractional)
K 0.2929 0.7071 0.7071
Hg 0.0000 0.5000 0.5000
Hg 0.3364 0.3019 0.0253
K 0.0000 0.0000 0.0000
Hg 0.1351 0.5768 0.1530
Hg 0.3364 0.0253 0.3019
K 0.7071 0.2929 0.2929
Hg 0.8649 0.8470 0.4232
Hg 0.1351 0.1530 0.5768
Hg 0.6636 0.9747 0.6981
Na 0.5000 0.3124 0.6876
Na 0.5000 0.6876 0.3124
Hg 0.6636 0.6981 0.9747
Hg 0.8649 0.4232 0.8470

Computed properties:
Formation energy from the elements in eV/atom: -0.253
Total magnetic moment in μB per formula unit: 0.00


2.
VASP calculation (PBE) on a relaxed KNaH2I crystal.

a b c (Å): 4.6619 9.4410 4.6619
angles (deg): 90.00 90.00 90.00
Element x y z (fractional)
I 0.5000 0.5000 0.5000
H 0.5000 0.0000 0.0000
H 0.0000 0.0000 0.5000
Na 0.0000 0.5000 0.0000
K 0.0000 0.0000 0.0000

Computed properties:
Total magnetic moment in μB per formula unit: 1.00
Total DFT energy (no corrections) in eV/atom: -2.08


3.
VASP calculation (PBE) on a relaxed LiNdGdIr crystal.

a b c (Å): 5.0279 5.0279 5.0279
angles (deg): 60.00 60.00 60.00
Element x y z (fractional)
Nd 0.0000 0.0000 0.0000
Ir 0.2500 0.2500 0.2500
Li 0.7500 0.7500 0.7500
Gd 0.5000 0.5000 0.5000

Computed properties:
Formation energy from the elements in eV/atom: -0.453
Total magnetic moment in μB per formula unit: 7.13